[1]
Compound: LiYPaS4
Source: Alexandria via LeMat-Bulk
Functional: PBE
Structure: relaxed

It has space group Imma (No. 74), with a = 7.9099 Å, b = 8.0370 Å, c = 11.2682 Å, α = 90.00°, β = 90.00° and γ = 90.00°. The asymmetric unit holds Li at (0.0000, 0.2500, 0.1320), Y at (0.2500, 0.2500, 0.7500), Pa at (0.0000, 0.0000, 0.5000), S at (0.0000, 0.0125, 0.7400) and S at (0.2352, 0.2500, 0.5054).

The energy relative to the elements, uncorrected comes out at -1161 kJ/mol of formula units. Its crystal system is orthorhombic.

[2]
Compound: LiPaZnS4
Source: Alexandria via LeMat-Bulk
Functional: PBE
Structure: relaxed

It has space group Imma (No. 74), with a = 7.4151 Å, b = 8.0662 Å, c = 10.4307 Å, α = 90.00°, β = 90.00° and γ = 90.00°. The asymmetric unit holds Li at (0.2500, 0.2500, 0.2500), Pa at (0.0000, 0.0000, 0.0000), Zn at (0.0000, 0.2500, 0.6518), S at (0.0000, 0.0079, 0.2467) and S at (0.2418, 0.2500, 0.9975).

The energy relative to the elements, uncorrected comes out at -826 kJ/mol of formula units. Its crystal system is orthorhombic.

[3]
Compound: Li2PaZnS4
Source: Alexandria via LeMat-Bulk
Functional: PBE
Structure: relaxed

It has space group P2/m (No. 10), with a = 6.5155 Å, b = 3.7481 Å, c = 6.6287 Å, α = 90.00°, β = 109.60° and γ = 90.00°. The asymmetric unit holds Li at (0.0000, 0.0000, 0.0000), Li at (0.5000, 0.5000, 0.0000), Pa at (0.0000, 0.5000, 0.5000), Zn at (0.5000, 0.0000, 0.5000), S at (0.2512, 0.0000, 0.7673) and S at (0.2728, 0.5000, 0.2714).

The energy relative to the elements, uncorrected comes out at -944 kJ/mol of formula units. Its crystal system is monoclinic.

[4]
Compound: Li4Zr3PaS8
Source: Alexandria via LeMat-Bulk
Functional: PBE
Structure: relaxed

It has space group R-3m (No. 166, hexagonal axes), with a = 7.3085 Å, b = 7.3085 Å, c = 19.0566 Å, α = 90.00°, β = 90.00° and γ = 120.00°. The asymmetric unit holds Li at (0.0000, 0.0000, 0.0000), Li at (0.0000, 0.5000, 0.0000), Zr at (0.0000, 0.5000, 0.5000), Pa at (0.0000, 0.0000, 0.5000), S at (0.0000, 0.0000, 0.2491) and S at (0.0084, 0.5042, 0.7480).

The energy relative to the elements, uncorrected comes out at -2351 kJ/mol of formula units. Its crystal system is trigonal.

[5]
Compound: Li2ZrPaS4
Source: Alexandria via LeMat-Bulk
Functional: PBE
Structure: relaxed

It has space group P2/m (No. 10), with a = 6.3809 Å, b = 3.7077 Å, c = 6.7310 Å, α = 90.00°, β = 108.45° and γ = 90.00°. The asymmetric unit holds Li at (0.0000, 0.0000, 0.0000), Li at (0.5000, 0.5000, 0.0000), Zr at (0.0000, 0.5000, 0.5000), Pa at (0.5000, 0.0000, 0.5000), S at (0.2376, 0.5000, 0.2384) and S at (0.2427, 0.0000, 0.7515).

The energy relative to the elements, uncorrected comes out at -1161 kJ/mol of formula units. Its crystal system is monoclinic.

[6]
Compound: Li3ZrPa3S8
Source: Alexandria via LeMat-Bulk
Functional: PBE
Structure: relaxed

It has space group R-3m (No. 166, hexagonal axes), with a = 7.6101 Å, b = 7.6101 Å, c = 19.0215 Å, α = 90.00°, β = 90.00° and γ = 120.00°. The asymmetric unit holds Li at (0.0000, 0.5000, 0.0000), Zr at (0.0000, 0.0000, 0.5000), Pa at (0.0000, 0.5000, 0.5000), S at (0.0000, 0.0000, 0.2556) and S at (0.0122, 0.5061, 0.2496).

The energy relative to the elements, uncorrected comes out at -2172 kJ/mol of formula units. Its crystal system is trigonal.